## A
VASP calculation (PBE-GGA) on a geometry-optimized PrDy2Y6 structure.

Its calculated volume is 33.7 Å³ per atom.

Cell lengths 7.3961, 7.3961, 7.6922 Å; angles 61.27, 61.27, 60.00 degrees
Atoms (fractional coordinates):
Y 0.2618 0.2620 0.6960
Y 0.0485 0.0483 0.2901
Y 0.6131 0.0485 0.2901
Y 0.0483 0.6131 0.2901
Y 0.7802 0.2618 0.6960
Y 0.2620 0.7802 0.6960
Pr 0.3159 0.3159 0.0522
Dy 0.5801 0.5801 0.2596
Dy 0.7557 0.7557 0.7329

## B
VASP calculation (PBE-GGA) on a geometry-optimized PrDy2Y6 structure.

Its calculated volume is 32.5 Å³ per atom.

Cell lengths 5.7363, 11.8958, 11.8958 Å; angles 48.24, 103.91, 103.91 degrees
Atoms (fractional coordinates):
Y 0.8588 0.1670 0.0024
Y 0.3097 0.6669 0.5023
Y 0.1412 0.8330 0.9976
Y 0.0834 0.0833 0.5831
Y 0.6412 0.9976 0.8330
Y 0.6903 0.3331 0.4977
Y 0.1903 0.4977 0.3331
Y 0.4166 0.4169 0.9167
Y 0.3588 0.0024 0.1670
Y 0.9166 0.9167 0.4169
Y 0.5834 0.5831 0.0833
Y 0.8097 0.5023 0.6669
Dy 0.9678 0.3324 0.1677
Dy 0.5322 0.8323 0.6676
Dy 0.0322 0.6676 0.8323
Dy 0.4678 0.1677 0.3324
Pr 0.2500 0.2497 0.7503
Pr 0.7500 0.7503 0.2497

Here is how they stack up, most stable first: B, A.

## A
VASP calculation (PBE-GGA) on a geometry-optimized PrDy3Y2 structure.

Its calculated volume is 33.4 Å³ per atom.

Cell lengths 6.3776, 8.1421, 8.1421 Å; angles 71.32, 90.00, 90.00 degrees
Atoms (fractional coordinates):
Y 0.0666 0.6235 0.2586
Y 0.5666 0.7414 0.3765
Y 0.0666 0.2586 0.6235
Y 0.5666 0.3765 0.7414
Pr 0.2873 0.1758 0.1758
Pr 0.7873 0.8242 0.8242
Dy 0.6116 0.1228 0.4863
Dy 0.6116 0.4863 0.1228
Dy 0.8144 0.0819 0.0819
Dy 0.1116 0.8772 0.5137
Dy 0.1116 0.5137 0.8772
Dy 0.3144 0.9181 0.9181

## B
VASP calculation (PBE-GGA) on a geometry-optimized PrDy3Y2 structure.

Its calculated volume is 32.4 Å³ per atom.

Cell lengths 7.1578, 6.1994, 11.8651 Å; angles 110.38, 90.01, 125.25 degrees
Atoms (fractional coordinates):
Y 0.2083 0.6664 0.4164
Y 0.5419 0.3333 0.0836
Y 0.4581 0.6667 0.9164
Y 0.7917 0.3336 0.5836
Dy 0.0414 0.3325 0.0826
Dy 0.9586 0.6675 0.9174
Dy 0.3748 0.0002 0.7500
Dy 0.2912 0.3326 0.5827
Dy 0.6252 0.9998 0.2500
Dy 0.7088 0.6674 0.4173
Pr 0.8748 0.0002 0.7502
Pr 0.1252 0.9998 0.2498

Here is how they stack up, most stable first: B, A.

## A
VASP calculation (PBE-GGA) on a geometry-optimized PrDy4Y7 structure.

Its calculated volume is 33.5 Å³ per atom.

Cell lengths 5.8942, 11.6440, 6.7394 Å; angles 82.68, 64.07, 75.34 degrees
Atoms (fractional coordinates):
Y 0.9422 0.3304 0.7852
Y 0.3649 0.5042 0.7660
Y 0.2104 0.0780 0.5011
Y 0.5000 0.0000 0.0000
Y 0.0578 0.6696 0.2148
Y 0.7896 0.9220 0.4989
Y 0.6351 0.4958 0.2340
Dy 0.6340 0.2254 0.5066
Dy 0.3660 0.7746 0.4934
Dy 0.2502 0.3166 0.1831
Dy 0.7498 0.6834 0.8169
Pr 0.0000 0.0000 0.0000

## B
VASP calculation (PBE-GGA) on a geometry-optimized PrDy4Y7 structure.

Its calculated volume is 32.7 Å³ per atom.

Cell lengths 6.8504, 8.7897, 9.0896 Å; angles 83.33, 94.12, 47.49 degrees
Atoms (fractional coordinates):
Dy 0.4489 0.3600 0.7128
Dy 0.7754 0.8381 0.6879
Dy 0.2246 0.1619 0.3121
Dy 0.5511 0.6400 0.2872
Y 0.7359 0.5160 0.9509
Y 0.2641 0.4840 0.0491
Y 0.7039 0.1905 0.3865
Y 0.2961 0.8095 0.6135
Y 0.5000 0.0000 0.0000
Y 0.9862 0.3186 0.6400
Y 0.0138 0.6814 0.3600
Pr 0.0000 0.0000 0.0000

Here is how they stack up, most stable first: B, A.

## A
VASP calculation (PBE-GGA) on a geometry-optimized PrDy7Y12 structure.

Its calculated volume is 32.7 Å³ per atom.

Cell lengths 8.7244, 8.7244, 8.7244 Å; angles 95.31, 95.31, 95.31 degrees
Atoms (fractional coordinates):
Dy 0.9828 0.9182 0.6476
Dy 0.6476 0.9828 0.9182
Dy 0.3524 0.0172 0.0818
Dy 0.0172 0.0818 0.3524
Dy 0.9182 0.6476 0.9828
Dy 0.5000 0.5000 0.5000
Dy 0.0818 0.3524 0.0172
Y 0.2500 0.6821 0.8119
Y 0.5861 0.5235 0.8532
Y 0.8119 0.2500 0.6821
Y 0.5235 0.8532 0.5861
Y 0.8532 0.5861 0.5235
Y 0.1881 0.7500 0.3179
Y 0.1468 0.4139 0.4765
Y 0.4765 0.1468 0.4139
Y 0.6821 0.8119 0.2500
Y 0.7500 0.3179 0.1881
Y 0.4139 0.4765 0.1468
Y 0.3179 0.1881 0.7500
Pr 0.0000 0.0000 0.0000

## B
VASP calculation (PBE-GGA) on a geometry-optimized PrDy7Y12 structure.

Its calculated volume is 36.2 Å³ per atom.

Cell lengths 9.7938, 9.7938, 9.7938 Å; angles 109.47, 109.47, 109.47 degrees
Atoms (fractional coordinates):
Y 0.7459 0.7467 0.4926
Y 0.2533 0.5074 0.2541
Y 0.0008 0.2541 0.7467
Y 0.5074 0.2541 0.2533
Y 0.7467 0.4926 0.7459
Y 0.7459 0.2533 0.9992
Y 0.2541 0.7467 0.0008
Y 0.7467 0.0008 0.2541
Y 0.2533 0.9992 0.7459
Y 0.2541 0.2533 0.5074
Y 0.4926 0.7459 0.7467
Y 0.9992 0.7459 0.2533
Dy 0.0000 0.0000 0.5000
Dy 0.5000 0.0000 0.5000
Dy 0.5000 0.0000 0.0000
Dy 0.0000 0.5000 0.5000
Dy 0.0000 0.5000 0.0000
Dy 0.5000 0.5000 0.5000
Dy 0.5000 0.5000 0.0000
Pr 0.0000 0.0000 0.0000

Here is how they stack up, most stable first: A, B.

## A
VASP calculation (PBE-GGA) on a geometry-optimized Pr7Dy2Y structure.

Its calculated volume is 42.2 Å³ per atom.

Cell lengths 5.7406, 9.3588, 9.3589 Å; angles 123.02, 90.00, 90.00 degrees
Atoms (fractional coordinates):
Pr 0.5000 0.7083 0.9195
Pr 0.5000 0.0805 0.2917
Pr 0.5000 0.9195 0.7083
Pr 0.5000 0.2917 0.0805
Pr 0.0000 0.3913 0.6087
Pr 0.5000 0.5000 0.5000
Pr 0.0000 0.6087 0.3913
Dy 0.5000 0.7212 0.2788
Dy 0.5000 0.2788 0.7212
Y 0.0000 0.0000 0.0000

## B
VASP calculation (PBE-GGA) on a geometry-optimized Pr7Dy2Y structure.

Its calculated volume is 42.4 Å³ per atom.

Cell lengths 5.7094, 9.4390, 9.4390 Å; angles 123.59, 90.00, 90.00 degrees
Atoms (fractional coordinates):
Pr 0.5000 0.2930 0.0664
Pr 0.0000 0.7786 0.2214
Pr 0.5000 0.5000 0.5000
Pr 0.5000 0.0664 0.2930
Pr 0.5000 0.9336 0.7070
Pr 0.0000 0.2214 0.7786
Pr 0.5000 0.7070 0.9336
Y 0.0000 0.0000 0.0000
Dy 0.5000 0.7053 0.2947
Dy 0.5000 0.2947 0.7053

Here is how they stack up, most stable first: B, A.

## A
VASP calculation (PBE-GGA) on a geometry-optimized Pr2Dy5Y12 structure.

Its calculated volume is 33.3 Å³ per atom.

Cell lengths 9.3441, 12.4339, 8.6064 Å; angles 132.64, 90.00, 112.07 degrees
Atoms (fractional coordinates):
Pr 0.3183 0.0000 0.0000
Pr 0.6817 0.0000 0.0000
Y 0.3342 0.3093 0.0674
Y 0.5639 0.7451 0.3986
Y 0.0893 0.1786 0.2997
Y 0.5577 0.1154 0.7866
Y 0.9107 0.8214 0.7003
Y 0.0249 0.6907 0.9326
Y 0.1812 0.7451 0.3986
Y 0.9751 0.3093 0.0674
Y 0.6658 0.6907 0.9326
Y 0.4423 0.8846 0.2134
Y 0.4361 0.2549 0.6014
Y 0.8188 0.2549 0.6014
Dy 0.6987 0.3974 0.3857
Dy 0.0000 0.0000 0.5000
Dy 0.3013 0.6026 0.6143
Dy 0.2313 0.4627 0.8868
Dy 0.7687 0.5373 0.1132

## B
VASP calculation (PBE-GGA) on a geometry-optimized Pr2Dy5Y12 structure.

Its calculated volume is 32.8 Å³ per atom.

Cell lengths 6.3470, 8.7220, 15.3304 Å; angles 116.90, 105.43, 109.00 degrees
Atoms (fractional coordinates):
Dy 0.9114 0.8580 0.3599
Dy 0.1204 0.6854 0.7452
Dy 0.7913 0.4223 0.3133
Dy 0.3411 0.7018 0.3410
Dy 0.9198 0.1150 0.6278
Y 0.0929 0.3608 0.5037
Y 0.5238 0.1992 0.4891
Y 0.5090 0.9294 0.2119
Y 0.1528 0.1794 0.2658
Y 0.8674 0.6074 0.1029
Y 0.1559 0.5034 0.9135
Y 0.5414 0.4565 0.7434
Y 0.4109 0.1916 0.8506
Y 0.7824 0.9641 0.8026
Y 0.2883 0.8817 0.5810
Y 0.6501 0.6296 0.5251
Y 0.2977 0.3686 0.0991
Pr 0.0060 0.8646 0.9914
Pr 0.6375 0.0812 0.0327

Here is how they stack up, most stable first: B, A.

## A
VASP calculation (PBE-GGA) on a geometry-optimized PrDy4Y3 structure.

Its calculated volume is 32.8 Å³ per atom.

Cell lengths 6.3108, 7.3171, 11.3581 Å; angles 90.00, 90.00, 90.00 degrees
Atoms (fractional coordinates):
Dy 0.9809 0.1230 0.7484
Dy 0.4809 0.8770 0.2484
Dy 0.1503 0.8773 0.5000
Dy 0.6487 0.1229 0.5000
Dy 0.4809 0.8770 0.7516
Dy 0.6503 0.1227 0.0000
Dy 0.9809 0.1230 0.2516
Dy 0.1487 0.8771 0.0000
Y 0.4819 0.3730 0.7500
Y 0.1455 0.3730 0.5000
Y 0.4819 0.3730 0.2500
Y 0.6455 0.6270 0.0000
Y 0.9819 0.6270 0.7500
Y 0.9819 0.6270 0.2500
Pr 0.6451 0.6274 0.5000
Pr 0.1451 0.3726 0.0000

## B
VASP calculation (PBE-GGA) on a geometry-optimized PrDy4Y3 structure.

Its calculated volume is 33.1 Å³ per atom.

Cell lengths 3.4671, 6.7484, 11.9326 Å; angles 106.36, 98.35, 90.00 degrees
Atoms (fractional coordinates):
Dy 0.1255 0.3712 0.2511
Dy 0.8745 0.6288 0.7489
Dy 0.2599 0.7534 0.5198
Dy 0.7401 0.2466 0.4802
Pr 0.5000 0.0000 0.0000
Y 0.0000 0.5000 0.0000
Y 0.8726 0.1158 0.7451
Y 0.1274 0.8842 0.2549

Here is how they stack up, most stable first: A, B.

## A
VASP calculation (PBE-GGA) on a geometry-optimized Pr8DyY2 structure.

Its calculated volume is 35.6 Å³ per atom.

Cell lengths 6.0583, 9.2561, 9.5882 Å; angles 61.14, 74.43, 56.21 degrees
Atoms (fractional coordinates):
Y 0.0000 0.6898 0.6204
Y 0.0000 0.3102 0.3796
Dy 0.5000 0.0000 0.0000
Pr 0.2966 0.4217 0.0000
Pr 0.1817 0.6651 0.2367
Pr 0.8183 0.3349 0.7633
Pr 0.8183 0.0982 0.2367
Pr 0.7034 0.5783 0.0000
Pr 0.1817 0.9018 0.7633
Pr 0.5000 0.2048 0.5904
Pr 0.5000 0.7952 0.4096

## B
VASP calculation (PBE-GGA) on a geometry-optimized Pr8DyY2 structure.

Its calculated volume is 35.6 Å³ per atom.

Cell lengths 5.7786, 8.3145, 9.5993 Å; angles 115.66, 107.52, 90.00 degrees
Atoms (fractional coordinates):
Pr 0.3652 0.1613 0.7305
Pr 0.0000 0.7085 0.0000
Pr 0.3652 0.5692 0.7305
Pr 0.8366 0.8366 0.6731
Pr 0.6348 0.4308 0.2695
Pr 0.1634 0.1634 0.3269
Pr 0.0000 0.2915 0.0000
Pr 0.6348 0.8387 0.2695
Y 0.7989 0.2990 0.5979
Y 0.2011 0.7010 0.4021
Dy 0.5000 0.0000 0.0000

Here is how they stack up, most stable first: B, A.

## A
VASP calculation (PBE-GGA) on a geometry-optimized Pr5Dy2Y2 structure.

Its calculated volume is 34.3 Å³ per atom.

Cell lengths 6.3224, 6.3225, 14.1074 Å; angles 58.58, 132.10, 131.88 degrees
Atoms (fractional coordinates):
Pr 0.5517 0.3350 0.8871
Pr 0.4483 0.6650 0.1129
Pr 0.7800 0.6657 0.4453
Pr 0.2200 0.3343 0.5547
Pr 0.0000 0.0000 0.0000
Y 0.1077 0.6677 0.7757
Y 0.8923 0.3323 0.2243
Dy 0.3350 0.9995 0.3341
Dy 0.6650 0.0005 0.6659

## B
VASP calculation (PBE-GGA) on a geometry-optimized Pr5Dy2Y2 structure.

Its calculated volume is 34.5 Å³ per atom.

Cell lengths 11.9557, 6.8678, 10.2413 Å; angles 109.59, 125.71, 90.00 degrees
Atoms (fractional coordinates):
Pr 0.0131 0.6505 0.5000
Pr 0.7798 0.2674 0.0997
Pr 0.9869 0.1505 0.5000
Pr 0.5805 0.2391 0.7112
Pr 0.6307 0.7391 0.7112
Pr 0.8199 0.7674 0.0997
Pr 0.3693 0.0279 0.2888
Pr 0.4195 0.5279 0.2888
Pr 0.1801 0.6677 0.9003
Pr 0.2202 0.1677 0.9003
Dy 0.7498 0.8400 0.5000
Dy 0.5000 0.5663 0.0000
Dy 0.2502 0.3400 0.5000
Dy 0.0000 0.0663 0.0000
Y 0.1391 0.6675 0.2578
Y 0.6187 0.1675 0.2578
Y 0.8609 0.4097 0.7422
Y 0.3813 0.9097 0.7422

Here is how they stack up, most stable first: A, B.